A | # Te4P

Te4P after structural relaxation (PBE-GGA, the Alexandria database).

Theoretical density, g/cm3: 6.02

Cell: 5.788 5.788 5.788 Å, 109.47 109.47 109.47°
Atoms (fractional coordinates):
Te: 0.000 0.000 0.500
Te: 0.000 0.500 0.000
Te: 0.500 0.000 0.000
Te: 0.500 0.500 0.500
P: 0.000 0.000 0.000

=====

B | # Te4P

Te4P after structural relaxation (PBE-GGA, the Alexandria database).

Theoretical density, g/cm3: 6.16

Cell: 5.266 5.266 5.266 Å, 90.00 90.00 90.00°
Atoms (fractional coordinates):
Te: 0.000 0.000 0.000
Te: 0.000 0.500 0.500
Te: 0.500 0.000 0.500
Te: 0.500 0.500 0.000
P: 0.500 0.500 0.500

=====

How far above the most stable structure does each one sit? In kJ/mol of atoms: A 0.0; B 11.3.

=====

A | # TeP5

TeP5 after structural relaxation (PBE-GGA, the Alexandria database).

Theoretical density, g/cm3: 3.38

Cell: 5.142 5.142 9.610 Å, 113.03 113.03 36.79°
Atoms (fractional coordinates):
Te: 0.000 0.000 0.000
P: 0.030 0.030 0.750
P: 0.318 0.318 0.399
P: 0.360 0.360 0.645
P: 0.646 0.646 0.437
P: 0.963 0.963 0.339

=====

B | # TeP5

TeP5 after structural relaxation (PBE-GGA, the Alexandria database).

Theoretical density, g/cm3: 4.55

Cell: 4.995 4.995 4.767 Å, 90.00 90.00 120.00°
Atoms (fractional coordinates):
Te: 0.000 0.000 0.000
P: 0.000 0.500 0.500
P: 0.333 0.667 0.000
P: 0.500 0.000 0.500
P: 0.500 0.500 0.500
P: 0.667 0.333 0.000

=====

How far above the most stable structure does each one sit? In kJ/mol of atoms: A 0.0; B 46.5.

=====

A | # Te5P3

Te5P3 after structural relaxation (PBE-GGA, the Alexandria database).

Theoretical density, g/cm3: 4.26

Cell: 9.168 6.864 9.627 Å, 90.00 109.91 90.00°
Atoms (fractional coordinates):
Te: 0.000 0.000 0.000
Te: 0.039 0.500 0.024
Te: 0.088 0.000 0.375
Te: 0.290 0.246 0.817
Te: 0.290 0.754 0.817
Te: 0.534 0.242 0.498
Te: 0.534 0.758 0.498
Te: 0.588 0.500 0.128
Te: 0.635 0.000 0.131
Te: 0.686 0.500 0.829
P: 0.075 0.500 0.780
P: 0.108 0.000 0.643
P: 0.345 0.000 0.328
P: 0.393 0.500 0.651
P: 0.429 0.500 0.299
P: 0.713 0.000 0.910

=====

B | # Te5P3

Te5P3 after structural relaxation (PBE-GGA, the Alexandria database).

Theoretical density, g/cm3: 4.47

Cell: 7.795 8.624 9.664 Å, 102.13 98.77 116.87°
Atoms (fractional coordinates):
Te: 0.000 0.000 0.000
Te: 0.008 0.558 0.769
Te: 0.081 0.610 0.165
Te: 0.301 0.316 0.787
Te: 0.369 0.533 0.407
Te: 0.474 0.164 0.406
Te: 0.573 0.144 0.983
Te: 0.590 0.771 0.163
Te: 0.700 0.949 0.584
Te: 0.926 0.643 0.404
P: 0.227 0.008 0.810
P: 0.557 0.404 0.278
P: 0.606 0.858 0.931
P: 0.738 0.083 0.373
P: 0.859 0.652 0.970
P: 0.959 0.257 0.804

=====

C | # Te5P3

Te5P3 after structural relaxation (PBE-GGA, the Alexandria database).

Theoretical density, g/cm3: 4.83

Cell: 9.126 9.126 3.841 Å, 90.00 90.00 128.25°
Atoms (fractional coordinates):
Te: 0.000 0.000 0.000
Te: 0.000 0.500 0.000
Te: 0.278 0.278 0.500
Te: 0.500 0.000 0.000
Te: 0.722 0.722 0.500
P: 0.235 0.765 0.500
P: 0.500 0.500 0.000
P: 0.765 0.235 0.500

=====

How far above the most stable structure does each one sit? In kJ/mol of atoms: A 4.1; B 0.0; C 25.0.

=====

A | # Te3P5

Te3P5 after structural relaxation (PBE-GGA, the Alexandria database).

Theoretical density, g/cm3: 4.99

Cell: 9.578 9.578 4.508 Å, 90.00 90.00 120.00°
Atoms (fractional coordinates):
Te: 0.000 0.345 0.250
Te: 0.000 0.655 0.750
Te: 0.345 0.000 0.250
Te: 0.345 0.345 0.750
Te: 0.655 0.000 0.750
Te: 0.655 0.655 0.250
P: 0.000 0.192 0.750
P: 0.000 0.808 0.250
P: 0.192 0.000 0.750
P: 0.192 0.192 0.250
P: 0.333 0.667 0.000
P: 0.333 0.667 0.500
P: 0.667 0.333 0.000
P: 0.667 0.333 0.500
P: 0.808 0.000 0.250
P: 0.808 0.808 0.750

=====

B | # Te3P5

Te3P5 after structural relaxation (PBE-GGA, the Alexandria database).

Theoretical density, g/cm3: 4.46

Cell: 8.654 8.654 3.671 Å, 90.00 90.00 133.28°
Atoms (fractional coordinates):
Te: 0.000 0.000 0.000
Te: 0.317 0.683 0.500
Te: 0.683 0.317 0.500
P: 0.000 0.500 0.000
P: 0.285 0.285 0.500
P: 0.500 0.000 0.000
P: 0.500 0.500 0.000
P: 0.715 0.715 0.500

=====

How far above the most stable structure does each one sit? In kJ/mol of atoms: A 8.0; B 0.0.